No. 1
Material: Gd2ThSb
Method: DFT, PBE
State: optimized geometry

Properties
The calculation puts the density of states at the Fermi level at 3.4 states/eV/f.u. As for the uncorrected formation energy: -500 meV per atom. For the calculated total energy, the calculation gives -10.43 eV/atom.

a b c (Å): 3.956 3.956 7.464
angles (deg): 90.00 90.00 90.00
Element x y z (fractional)
1 Sb 0.500 0.500 0.500
2 Gd 0.000 0.000 0.282
3 Gd 0.000 0.000 0.718
4 Th 0.500 0.500 0.000

=====

No. 2
Material: CdNi
Method: DFT, PBE
State: optimized geometry

Properties
The energy of formation comes out at 19.6 kJ/mol of atoms. The calculation puts the density of states at the Fermi level at 2.0 states/eV/f.u. For the calculated total energy, the calculation gives -3.15 eV/atom.

a b c (Å): 7.922 13.824 4.855
angles (deg): 90.00 90.00 90.00
Element x y z (fractional)
1 Cd 0.920 0.250 0.750
2 Cd 0.920 0.750 0.250
3 Cd 0.420 0.250 0.250
4 Cd 0.330 0.000 0.000
5 Cd 0.670 0.000 0.000
6 Cd 0.830 0.500 0.000
7 Cd 0.670 0.500 0.500
8 Cd 0.330 0.500 0.500
9 Cd 0.080 0.750 0.750
10 Cd 0.170 0.000 0.500
11 Cd 0.420 0.750 0.750
12 Cd 0.080 0.250 0.250
13 Cd 0.170 0.500 0.000
14 Cd 0.580 0.250 0.750
15 Cd 0.830 0.000 0.500
16 Cd 0.580 0.750 0.250
17 Ni 0.500 0.084 0.500
18 Ni 0.000 0.084 0.000
19 Ni 0.750 0.166 0.250
20 Ni 0.250 0.334 0.750
21 Ni 0.750 0.666 0.750
22 Ni 0.250 0.166 0.750
23 Ni 0.000 0.584 0.500
24 Ni 0.750 0.834 0.750
25 Ni 0.750 0.334 0.250
26 Ni 0.000 0.416 0.500
27 Ni 0.500 0.584 0.000
28 Ni 0.250 0.666 0.250
29 Ni 0.250 0.834 0.250
30 Ni 0.000 0.916 0.000
31 Ni 0.500 0.416 0.000
32 Ni 0.500 0.916 0.500